A plane-wave DFT calculation with PBE was carried out for an optimized crystal structure of TcNiBPd.

Geometry as POSCAR:
```
TcNiBPd
1.0
5.710 0.000 0.000
0.000 5.710 0.000
0.000 0.000 5.710
Tc Ni B Pd
4 4 4 4
Cartesian
0.000 0.000 0.000 Tc
0.000 2.855 2.855 Tc
2.855 0.000 2.855 Tc
2.855 2.855 0.000 Tc
1.427 1.427 4.282 Ni
1.427 4.282 1.427 Ni
4.282 1.427 1.427 Ni
4.282 4.282 4.282 Ni
1.427 1.427 1.427 B
1.427 4.282 4.282 B
4.282 1.427 4.282 B
4.282 4.282 1.427 B
0.000 0.000 2.855 Pd
0.000 2.855 0.000 Pd
2.855 0.000 0.000 Pd
2.855 2.855 2.855 Pd
```

Values from the calculation:
Electronic total energy (hartree per atom): -0.24581
Space group: F-43m